DFT (GGA-PBEsol) results for an optimized crystal structure of La2Ti3O9.

a b c (Å): 6.5240 6.8005 9.3248
angles (deg): 98.60 107.09 98.64
Space group P1 (No. 1)
Symmetry-distinct sites (fractional):
La 0.0000 0.0000 0.0000 [1 per cell]
La 0.1791 0.5377 0.8806 [1 per cell]
La 0.4043 0.0660 0.7837 [1 per cell]
La 0.8159 0.0947 0.5870 [1 per cell]
Ti 0.3543 0.2460 0.3900 [1 per cell]
Ti 0.4942 0.8813 0.2041 [1 per cell]
Ti 0.6271 0.5695 0.6851 [1 per cell]
Ti 0.7065 0.5166 0.0443 [1 per cell]
Ti 0.8755 0.2575 0.2606 [1 per cell]
Ti 0.9925 0.8327 0.3591 [1 per cell]
O 0.0500 0.1820 0.4324 [1 per cell]
O 0.1036 0.1840 0.8255 [1 per cell]
O 0.1091 0.8602 0.5594 [1 per cell]
O 0.1369 0.2784 0.2059 [1 per cell]
O 0.2446 0.9108 0.2717 [1 per cell]
O 0.3331 0.9017 0.9912 [1 per cell]
O 0.4323 0.5132 0.4913 [1 per cell]
O 0.4767 0.1632 0.5724 [1 per cell]
O 0.4797 0.6045 0.1087 [1 per cell]
O 0.4967 0.4591 0.8235 [1 per cell]
O 0.5971 0.1943 0.3151 [1 per cell]
O 0.6821 0.8530 0.7468 [1 per cell]
O 0.7044 0.8315 0.3790 [1 per cell]
O 0.7147 0.2476 0.0234 [1 per cell]
O 0.7952 0.9608 0.1714 [1 per cell]
O 0.8617 0.4725 0.6681 [1 per cell]
O 0.8910 0.5502 0.2604 [1 per cell]
O 0.9105 0.6447 0.9758 [1 per cell]

Output
**Size of the total moment**: 0.000 μB/atom
**Excess energy over the best structure of this formula in the dataset**: 110 meV/atom
**Raw formation energy**: -3.18 eV/atom
**DFT total energy**: -9.10 eV per atom

=====

DFT (GGA-PBEsol) results for an optimized crystal structure of RuPt2Rh.

a b c (Å): 2.7079 3.8336 5.4476
angles (deg): 90.00 90.00 90.00
Space group Pmm2 (No. 25)
Symmetry-distinct sites (fractional):
Ru 0.0000 0.0000 0.0000 [1 per cell]
Pt 0.0000 0.0000 0.5108 [1 per cell]
Pt 0.5000 0.5000 0.2489 [1 per cell]
Rh 0.5000 0.5000 0.7667 [1 per cell]

Output
**Size of the total moment**: 0.000 μB/atom
**Excess energy over the best structure of this formula in the dataset**: 26 meV/atom
**DFT total energy**: -8.07 eV per atom

=====

DFT (GGA-PBEsol) results for an optimized crystal structure of CaSiPb3.

a b c (Å): 5.6461 5.6461 5.6461
angles (deg): 90.00 90.00 90.00
Space group Pm-3m (No. 221)
Symmetry-distinct sites (fractional):
Ca 0.0000 0.0000 0.0000 [1 per cell]
Si 0.5000 0.5000 0.5000 [1 per cell]
Pb 0.0000 0.0000 0.5000 [3 per cell]

Output
**Size of the total moment**: 0.006 μB/atom
**Excess energy over the best structure of this formula in the dataset**: 824 meV/atom
**Raw formation energy**: 1.05 eV/atom
**DFT total energy**: -2.92 eV per atom